Arrangement one

Entry from the Open Quantum Materials Database: crystalline TlAs2Au2 at its relaxed geometry (PBE). Values from VASP.

The structure in Quantum ESPRESSO input format:
```
&SYSTEM
  ibrav = 0, nat = 5, ntyp = 3
/
ATOMIC_SPECIES
As 74.92 As.upf
Au 196.97 Au.upf
Tl 204.38 Tl.upf
CELL_PARAMETERS angstrom
-2.275 2.275 5.474
2.275 -2.275 5.474
2.275 2.275 -5.474
ATOMIC_POSITIONS crystal
As 0.385 0.385 0.000
As 0.615 0.615 0.000
Au 0.250 0.750 0.500
Au 0.750 0.250 0.500
Tl 0.000 0.000 0.000
```

=====

Arrangement two

Entry from the Open Quantum Materials Database: crystalline TlAs2Au2 at its relaxed geometry (PBE). Values from VASP.

The structure in Quantum ESPRESSO input format:
```
&SYSTEM
  ibrav = 0, nat = 10, ntyp = 3
/
ATOMIC_SPECIES
As 74.92 As.upf
Au 196.97 Au.upf
Tl 204.38 Tl.upf
CELL_PARAMETERS angstrom
-3.257 4.153 -3.364
2.169 -1.715 5.615
10.018 6.275 -1.953
ATOMIC_POSITIONS crystal
As 0.802 0.198 0.548
Au 0.776 0.224 0.750
Tl 0.522 0.478 0.750
As 0.802 0.198 0.952
As 0.198 0.802 0.452
Tl 0.478 0.522 0.250
As 0.198 0.802 0.048
Au 0.000 0.000 0.000
Au 0.224 0.776 0.250
Au 0.000 0.000 0.500
```

=====

Stability, lowest: arrangement one

=====

Arrangement one

Entry from the Open Quantum Materials Database: crystalline ZnAs2Au2 at its relaxed geometry (PBE). Values from VASP.

The structure in Quantum ESPRESSO input format:
```
&SYSTEM
  ibrav = 0, nat = 5, ntyp = 3
/
ATOMIC_SPECIES
As 74.92 As.upf
Au 196.97 Au.upf
Zn 65.41 Zn.upf
CELL_PARAMETERS angstrom
2.655 -2.655 0.000
2.655 2.655 0.000
-2.655 0.000 7.026
ATOMIC_POSITIONS crystal
As 0.750 0.250 0.500
Au 0.406 0.406 0.813
Zn 0.000 0.000 0.000
As 0.250 0.750 0.500
Au 0.594 0.594 0.187
```

=====

Arrangement two

Entry from the Open Quantum Materials Database: crystalline ZnAs2Au2 at its relaxed geometry (PBE). Values from VASP.

The structure in Quantum ESPRESSO input format:
```
&SYSTEM
  ibrav = 0, nat = 5, ntyp = 3
/
ATOMIC_SPECIES
Au 196.97 Au.upf
As 74.92 As.upf
Zn 65.41 Zn.upf
CELL_PARAMETERS angstrom
0.604 3.838 -1.669
-2.169 -1.155 -3.441
-4.199 0.534 5.065
ATOMIC_POSITIONS crystal
Au 0.750 0.250 0.500
As 0.391 0.391 0.783
Au 0.250 0.750 0.500
As 0.609 0.609 0.217
Zn 0.000 0.000 0.000
```

=====

Stability, lowest: arrangement two

=====

Arrangement one

Entry from the Open Quantum Materials Database: crystalline CdBAs at its relaxed geometry (PBE). Values from VASP.

The structure in Quantum ESPRESSO input format:
```
&SYSTEM
  ibrav = 0, nat = 3, ntyp = 3
/
ATOMIC_SPECIES
B 10.81 B.upf
As 74.92 As.upf
Cd 112.41 Cd.upf
CELL_PARAMETERS angstrom
-2.817 -2.699 2.021
-4.280 0.986 0.126
-2.866 -2.351 -2.359
ATOMIC_POSITIONS crystal
B 0.250 0.250 0.250
As 0.000 0.000 0.000
Cd 0.750 0.750 0.750
```

=====

Arrangement two

Entry from the Open Quantum Materials Database: crystalline CdBAs at its relaxed geometry (PBE). Values from VASP.

The structure in Quantum ESPRESSO input format:
```
&SYSTEM
  ibrav = 0, nat = 3, ntyp = 3
/
ATOMIC_SPECIES
B 10.81 B.upf
As 74.92 As.upf
Cd 112.41 Cd.upf
CELL_PARAMETERS angstrom
-2.507 -2.616 -2.446
-3.818 1.457 -1.551
-0.465 0.789 -4.275
ATOMIC_POSITIONS crystal
B 0.750 0.750 0.750
As 0.250 0.250 0.250
Cd 0.000 0.000 0.000
```

=====

Stability, lowest: arrangement two